First-principles (GGA-PBE) data for Mg4ReHg after structural relaxation, as listed in Alexandria.

Properties
* space group: F-43m
* density: 7.0 g/cm3
* energy of formation from the pure elements: 0.613 eV/atom
* M_tot: 0.00 μB/atom

abc: 5.453 5.453 5.453
angles: 60.00 60.00 60.00
Positions (direct):
Mg1 0.872 0.376 0.376
Mg2 0.376 0.376 0.872
Mg3 0.376 0.872 0.376
Mg4 0.376 0.376 0.376
Re1 0.750 0.750 0.750
Hg1 0.000 0.000 0.000

***

First-principles (GGA-PBE) data for MnRe2Ru after structural relaxation, as listed in Alexandria.

Properties
* space group: I-4m2
* density: 15.7 g/cm3
* energy of formation from the pure elements: 0.060 eV/atom
* energy above the lowest structure with this stoichiometry: 54.6 meV per atom
* M_tot: 0.33 μB/atom

abc: 4.659 4.659 4.659
angles: 131.33 131.33 71.28
Site moments in Bohr magnetons follow the coordinates.
Positions (direct):
Mn1 0.750 0.250 0.500  1.69
Re1 0.000 0.000 0.000  -0.21
Re2 0.250 0.750 0.500  -0.03
Ru1 0.500 0.500 0.000  -0.15

***

First-principles (GGA-PBE) data for Rb3YBi after structural relaxation, as listed in Alexandria.

Properties
* space group: Pm-3m
* density: 2.6 g/cm3
* energy of formation from the pure elements: 0.514 eV/atom
* energy above the lowest structure with this stoichiometry: 0.0 meV per atom
* M_tot: 0.20 μB/atom

abc: 7.107 7.107 7.107
angles: 90.00 90.00 90.00
Site moments in Bohr magnetons follow the coordinates.
Positions (direct):
Y1 0.500 0.500 0.500  0.58
Bi1 0.000 0.000 0.000  -0.12
Rb1 0.000 0.500 0.000  0.00
Rb2 0.000 0.000 0.500  0.00
Rb3 0.500 0.000 0.000  0.00

***

First-principles (GGA-PBE) data for PmNdMgPa after structural relaxation, as listed in Alexandria.

Properties
* space group: F-43m
* density: 7.8 g/cm3
* energy of formation from the pure elements: 0.339 eV/atom
* M_tot: 0.00 μB/atom

abc: 5.481 5.481 5.481
angles: 60.00 60.00 60.00
Positions (direct):
Mg1 0.000 0.000 0.000
Pa1 0.500 0.500 0.500
Nd1 0.250 0.250 0.250
Pm1 0.750 0.750 0.750

***

First-principles (GGA-PBE) data for ErZr2Fe after structural relaxation, as listed in Alexandria.

Properties
* space group: R3m
* density: 7.3 g/cm3
* energy of formation from the pure elements: 0.114 eV/atom
* energy above the lowest structure with this stoichiometry: 180.7 meV per atom
* M_tot: 0.00 μB/atom

abc: 4.140 4.140 6.623
angles: 71.79 71.79 60.00
Positions (direct):
Er1 0.495 0.495 0.516
Zr1 0.052 0.052 0.844
Zr2 0.281 0.281 0.156
Fe1 0.672 0.672 0.984

***

First-principles (GGA-PBE) data for MnFeAsBr2 after structural relaxation, as listed in Alexandria.

Properties
* space group: P4/mmm
* density: 4.5 g/cm3
* uncorrected formation energy: 0.598 eV per atom
* energy above the lowest structure with this stoichiometry: 113.5 meV per atom
* M_tot: 1.42 μB/atom

abc: 5.070 5.070 4.916
angles: 90.00 90.00 90.00
Site moments in Bohr magnetons follow the coordinates.
Positions (direct):
As1 0.000 0.000 0.500  -0.33
Mn1 0.000 0.000 0.000  3.63
Fe1 0.500 0.500 0.500  3.38
Br1 0.000 0.500 0.000  0.04
Br2 0.500 0.000 0.000  0.04

***

First-principles (GGA-PBE) data for Hf2B2Au after structural relaxation, as listed in Alexandria.

Properties
* space group: P4/mbm
* density: 13.7 g/cm3
* energy of formation from the pure elements: -0.564 eV/atom
* M_tot: 0.00 μB/atom

abc: 6.370 6.370 3.433
angles: 90.00 90.00 90.00
Positions (direct):
Hf1 0.178 0.678 0.500
Hf2 0.678 0.822 0.500
Hf3 0.822 0.322 0.500
Hf4 0.322 0.178 0.500
B1 0.405 0.905 0.000
B2 0.905 0.595 0.000
B3 0.595 0.095 0.000
B4 0.095 0.405 0.000
Au1 0.000 0.000 0.000
Au2 0.500 0.500 0.000

***

First-principles (GGA-PBE) data for Tb2PmHo12 after structural relaxation, as listed in Alexandria.

Properties
* space group: P4/nbm
* density: 8.0 g/cm3
* energy of formation from the pure elements: 0.374 eV/atom
* M_tot: 0.00 μB/atom

abc: 6.408 6.408 24.622
angles: 90.00 90.00 90.00
Positions (direct):
Tb1 0.500 0.000 0.262
Tb2 0.000 0.500 0.262
Tb3 0.000 0.500 0.738
Tb4 0.500 0.000 0.738
Pm1 0.500 0.000 0.000
Pm2 0.000 0.500 0.000
Ho1 0.500 0.500 0.786
Ho2 0.000 0.000 0.786
Ho3 0.751 0.749 0.886
Ho4 0.251 0.751 0.886
Ho5 0.000 0.000 0.338
Ho6 0.249 0.749 0.114
Ho7 0.831 0.331 0.561
Ho8 0.500 0.500 0.338
Ho9 0.249 0.251 0.886
Ho10 0.749 0.751 0.114
Ho11 0.331 0.169 0.561
Ho12 0.669 0.169 0.439
Ho13 0.000 0.000 0.662
Ho14 0.169 0.331 0.439
Ho15 0.251 0.249 0.114
Ho16 0.831 0.669 0.439
Ho17 0.669 0.831 0.561
Ho18 0.000 0.000 0.214
Ho19 0.169 0.669 0.561
Ho20 0.500 0.500 0.662
Ho21 0.749 0.249 0.886
Ho22 0.500 0.500 0.214
Ho23 0.331 0.831 0.439
Ho24 0.751 0.251 0.114

***

First-principles (GGA-PBE) data for Li2AcGa after structural relaxation, as listed in Alexandria.

Properties
* space group: P4/mmm
* density: 4.7 g/cm3
* energy of formation from the pure elements: -0.004 eV/atom
* M_tot: 0.36 μB/atom

abc: 5.327 4.561 4.561
angles: 90.00 90.00 90.00
Site moments in Bohr magnetons follow the coordinates.
Positions (direct):
Ac1 0.500 0.500 0.500  0.24
Ga1 0.500 0.000 0.000  0.17
Li1 0.000 0.000 0.500  0.04
Li2 0.000 0.500 0.000  0.04

***

First-principles (GGA-PBE) data for SbTe3Au after structural relaxation, as listed in Alexandria.

Properties
* space group: P1
* density: 7.3 g/cm3
* uncorrected formation energy: 0.028 eV per atom
* energy above the lowest structure with this stoichiometry: 0.0 meV per atom
* M_tot: 0.00 μB/atom

abc: 5.754 7.065 8.403
angles: 83.26 70.39 89.29
Positions (direct):
Sb1 0.474 0.653 0.994
Sb2 0.532 0.103 0.404
Te1 0.573 0.643 0.585
Te2 0.799 0.406 0.143
Te3 0.074 0.302 0.496
Te4 0.963 0.831 0.863
Te5 0.455 0.273 0.797
Te6 0.237 0.921 0.241
Au1 0.934 0.247 0.845
Au2 0.088 0.677 0.560

***

First-principles (GGA-PBE) data for TaReTe2N after structural relaxation, as listed in Alexandria.

Properties
* space group: P4/mmm
* density: 9.8 g/cm3
* uncorrected formation energy: 0.796 eV per atom
* energy above the lowest structure with this stoichiometry: 0.0 meV per atom
* M_tot: 0.37 μB/atom

abc: 5.398 5.398 3.698
angles: 90.00 90.00 90.00
Site moments in Bohr magnetons follow the coordinates.
Positions (direct):
Re1 0.000 0.000 0.000  0.09
N1 0.000 0.000 0.500  -0.01
Te1 0.000 0.500 0.000  -0.05
Te2 0.500 0.000 0.000  -0.05
Ta1 0.500 0.500 0.500  1.29

***

First-principles (GGA-PBE) data for PuU6Se8 after structural relaxation, as listed in Alexandria.

Properties
* space group: Fm-3m
* density: 10.1 g/cm3
* uncorrected formation energy: -1.107 eV per atom
* M_tot: 1.51 μB/atom

abc: 8.121 8.121 8.121
angles: 60.00 60.00 60.00
Site moments in Bohr magnetons follow the coordinates.
Positions (direct):
Pu1 0.000 0.000 0.000  5.42
U1 0.000 0.500 0.500  2.54
U2 0.500 0.000 0.000  2.54
U3 0.500 0.500 0.000  2.54
U4 0.000 0.000 0.500  2.54
U5 0.000 0.500 0.000  2.54
U6 0.500 0.000 0.500  2.54
Se1 0.750 0.750 0.750  -0.06
Se2 0.250 0.250 0.250  -0.06
Se3 0.743 0.257 0.257  -0.07
Se4 0.257 0.743 0.743  -0.07
Se5 0.257 0.257 0.743  -0.07
Se6 0.743 0.743 0.257  -0.07
Se7 0.743 0.257 0.743  -0.07
Se8 0.257 0.743 0.257  -0.07

***

First-principles (GGA-PBE) data for AcCeTm2Bi4 after structural relaxation, as listed in Alexandria.

Properties
* space group: P2/m
* density: 9.3 g/cm3
* energy of formation from the pure elements: -0.822 eV/atom
* M_tot: 0.11 μB/atom

abc: 4.604 7.930 7.973
angles: 70.47 90.00 90.00
Site moments in Bohr magnetons follow the coordinates.
Positions (direct):
Ac1 0.500 0.500 0.000  0.00
Ce1 0.000 0.500 0.500  0.86
Tm1 0.000 0.000 0.000  -0.01
Tm2 0.500 0.000 0.500  -0.01
Bi1 0.000 0.771 0.736  -0.01
Bi2 0.000 0.229 0.264  -0.01
Bi3 0.500 0.766 0.252  -0.02
Bi4 0.500 0.234 0.748  -0.02

***

First-principles (GGA-PBE) data for YAgO3 after structural relaxation, as listed in Alexandria.

Properties
* space group: P6_3cm
* density: 5.7 g/cm3
* uncorrected formation energy: -1.741 eV per atom
* M_tot: 0.00 μB/atom

abc: 6.510 6.510 11.647
angles: 90.00 90.00 120.00
Positions (direct):
Y1 0.667 0.333 0.234
Y2 0.333 0.667 0.734
Y3 0.667 0.333 0.734
Y4 0.333 0.667 0.234
Y5 0.000 0.000 0.772
Y6 0.000 0.000 0.272
Ag1 0.668 0.000 0.501
Ag2 0.668 0.668 0.001
Ag3 0.000 0.332 0.001
Ag4 0.000 0.668 0.501
Ag5 0.332 0.332 0.501
Ag6 0.332 0.000 0.001
O1 0.667 0.333 0.028
O2 0.333 0.667 0.528
O3 0.667 0.333 0.528
O4 0.333 0.667 0.028
O5 0.000 0.000 0.971
O6 0.000 0.000 0.471
O7 0.356 0.000 0.828
O8 0.356 0.356 0.328
O9 0.000 0.644 0.328
O10 0.000 0.356 0.828
O11 0.644 0.644 0.828
O12 0.644 0.000 0.328
O13 0.311 0.000 0.174
O14 0.311 0.311 0.674
O15 0.000 0.689 0.674
O16 0.000 0.311 0.174
O17 0.689 0.689 0.174
O18 0.689 0.000 0.674

***

First-principles (GGA-PBE) data for Sm4ErPd2 after structural relaxation, as listed in Alexandria.

Properties
* space group: R-3m
* density: 7.9 g/cm3
* energy of formation from the pure elements: -0.268 eV/atom
* M_tot: 0.00 μB/atom

abc: 5.289 5.289 9.071
angles: 73.05 73.05 60.00
Positions (direct):
Sm1 0.713 0.713 0.862
Sm2 0.882 0.882 0.355
Sm3 0.287 0.287 0.138
Sm4 0.118 0.118 0.645
Er1 0.500 0.500 0.500
Pd1 0.604 0.604 0.189
Pd2 0.396 0.396 0.811

***

First-principles (GGA-PBE) data for CoBi2Ir after structural relaxation, as listed in Alexandria.

Properties
* space group: Fm-3m
* density: 13.8 g/cm3
* energy of formation from the pure elements: 0.485 eV/atom
* energy above the lowest structure with this stoichiometry: 0.0 meV per atom
* M_tot: 0.42 μB/atom

abc: 4.845 4.845 4.845
angles: 60.00 60.00 60.00
Site moments in Bohr magnetons follow the coordinates.
Positions (direct):
Ir1 0.500 0.500 0.500  0.24
Co1 0.000 0.000 0.000  1.51
Bi1 0.250 0.250 0.250  -0.02
Bi2 0.750 0.750 0.750  -0.02

***

First-principles (GGA-PBE) data for NaLi2Cd after structural relaxation, as listed in Alexandria.

Properties
* space group: I-42d
* density: 2.5 g/cm3
* energy of formation from the pure elements: 0.042 eV/atom
* M_tot: 0.00 μB/atom

abc: 4.364 4.364 10.743
angles: 78.28 78.28 90.00
Positions (direct):
Na1 0.500 0.500 0.000
Na2 0.250 0.750 0.500
Li1 0.656 0.125 0.250
Li2 0.094 0.625 0.250
Li3 0.375 0.344 0.750
Li4 0.875 0.906 0.750
Cd1 0.000 0.000 0.000
Cd2 0.750 0.250 0.500

***

First-principles (GGA-PBE) data for B2OsPt after structural relaxation, as listed in Alexandria.

Properties
* space group: Fm-3m
* density: 16.1 g/cm3
* energy of formation from the pure elements: 0.367 eV/atom
* energy above the lowest structure with this stoichiometry: 101.8 meV per atom
* M_tot: 0.00 μB/atom

abc: 3.899 3.899 3.899
angles: 60.00 60.00 60.00
Positions (direct):
B1 0.250 0.250 0.250
B2 0.750 0.750 0.750
Os1 0.000 0.000 0.000
Pt1 0.500 0.500 0.500

***

First-principles (GGA-PBE) data for PbF3 after structural relaxation, as listed in Alexandria.

Properties
* space group: R-3m
* density: 5.0 g/cm3
* uncorrected formation energy: -1.574 eV per atom
* M_tot: 0.25 μB/atom

abc: 6.335 6.335 6.335
angles: 38.18 38.18 38.18
Site moments in Bohr magnetons follow the coordinates.
Positions (direct):
Pb1 0.500 0.500 0.500  0.01
F1 0.000 0.000 0.000  0.63
F2 0.876 0.876 0.876  0.14
F3 0.124 0.124 0.124  0.14

***

First-principles (GGA-PBE) data for GdCd2Hg after structural relaxation, as listed in Alexandria.

Properties
* space group: Fm-3m
* density: 10.2 g/cm3
* energy of formation from the pure elements: -0.238 eV/atom
* energy above the lowest structure with this stoichiometry: 50.2 meV per atom
* M_tot: 1.77 μB/atom

abc: 5.118 5.118 5.118
angles: 60.00 60.00 60.00
Site moments in Bohr magnetons follow the coordinates.
Positions (direct):
Gd1 0.000 0.000 0.000  -7.01
Hg1 0.500 0.500 0.500  0.02
Cd1 0.250 0.250 0.250  0.01
Cd2 0.750 0.750 0.750  0.01